No. 1
Compound: Zn2PbCl
Source: Alexandria
Functional: PBE
Structure: optimized geometry

N(E_F): 1.54 states/eV/f.u.
Crystal system: tetragonal
VASP energy: -2.043 eV/atom
Space group: I4/mmm (139)

a = 6.211 Å, b = 6.211 Å, c = 6.211 Å
α = 140.31°, β = 140.31°, γ = 57.38°
Fractional coordinates of all 4 atoms:
Zn1 0.250 0.750 0.500
Zn2 0.750 0.250 0.500
Pb1 0.000 0.000 0.000
Cl1 0.500 0.500 0.000

---

No. 2
Compound: Zn2PbCl
Source: Alexandria
Functional: PBE
Structure: optimized geometry

N(E_F): 1.30 states/eV/f.u.
Crystal system: orthorhombic
VASP energy: -2.091 eV/atom
Space group: Cmmm (65)

a = 3.633 Å, b = 3.633 Å, c = 8.209 Å
α = 90.00°, β = 90.00°, γ = 115.34°
Fractional coordinates of all 4 atoms:
Zn1 0.000 0.000 0.232
Zn2 0.000 0.000 0.768
Pb1 0.500 0.500 0.500
Cl1 0.500 0.500 0.000

---

No. 3
Compound: ZnPbCl
Source: Alexandria
Functional: PBE
Structure: optimized geometry

N(E_F): 0.79 states/eV/f.u.
Crystal system: tetragonal
VASP energy: -2.499 eV/atom
Space group: I4mm (107)

a = 5.914 Å, b = 5.914 Å, c = 5.914 Å
α = 142.75°, β = 142.75°, γ = 53.70°
Fractional coordinates of all 3 atoms:
Zn1 0.000 0.000 0.000
Pb1 0.368 0.368 0.000
Cl1 0.655 0.655 0.000

---

no.,ΔE_f (raw) (eV per atom)
1,-0.0176
2,-0.0651
3,-0.2223